Here is TaMoW at its PBEsol-relaxed geometry from Alexandria. Energies are from meta-GGA SCAN.

Unit cell a=7.0739 b=6.8872 c=2.7678 alpha=82.38 beta=74.80 gamma=22.82
With the nearest neighbours (Å) after each atom.
Atoms (fractional coordinates):
Ta: 0.0000 0.0000 0.0000  2 Mo 2.76, 4 Ta 2.77, 2 W 2.78
Mo: 0.3316 0.3316 0.6684  2 W 2.69, 2 Ta 2.76, 4 Mo 2.77
W: 0.6699 0.6699 0.3301  2 Mo 2.69, 4 W 2.77, 2 Ta 2.78

Its spin magnetization is 0.0 μB per cell. The space-group type is Fmm2 (42). Its formation energy is -0.09 eV/atom. For the calculated volume, the calculation gives 48.3 Å³/cell. The energy above the most stable polymorph in this dataset comes out at 70 meV/atom. The calculated density is 15.85 g/cm3.



Here is Sr2Sn2Sb at its PBEsol-relaxed geometry from Alexandria. Energies are from meta-GGA SCAN.

Unit cell a=8.0888 b=8.0888 c=4.8066 alpha=90.00 beta=90.00 gamma=90.00
With the nearest neighbours (Å) after each atom.
Atoms (fractional coordinates):
Sr: 0.1757 0.3243 0.0000  6 Sn 3.31-3.45
Sr: 0.3243 0.8243 0.0000  6 Sn 3.31-3.45
Sr: 0.6757 0.1757 0.0000  6 Sn 3.31-3.45
Sr: 0.8243 0.6757 0.0000  6 Sn 3.31-3.45
Sn: 0.1257 0.6257 0.5000  1 Sn 2.88, 2 Sb 3.19
Sn: 0.3743 0.1257 0.5000  1 Sn 2.88, 2 Sb 3.19
Sn: 0.6257 0.8743 0.5000  1 Sn 2.88, 2 Sb 3.19
Sn: 0.8743 0.3743 0.5000  1 Sn 2.88, 2 Sb 3.19
Sb: 0.0000 0.0000 0.5000  4 Sn 3.19
Sb: 0.5000 0.5000 0.5000  4 Sn 3.19

Its spin magnetization is 0.0 μB per cell. The space-group type is P4/mbm (127). For the calculated volume, the calculation gives 314.5 Å³/cell. The calculated density is 5.64 g/cm3. The uncorrected formation energy is -3.5 eV per formula unit.



Here is BaBeP2 at its PBEsol-relaxed geometry from Alexandria. Energies are from meta-GGA SCAN.

Unit cell a=4.8325 b=4.8325 c=4.8325 alpha=117.82 beta=117.82 gamma=93.81
With the nearest neighbours (Å) after each atom.
Atoms (fractional coordinates):
Ba: 0.0000 0.0000 0.0000  8 P 2.99, 2 Be 3.30
Be: 0.5000 0.5000 0.0000  8 P 2.99, 2 Ba 3.30
P: 0.2500 0.7500 0.5000  4 Be 2.99, 4 Ba 2.99, 2 P 3.30
P: 0.7500 0.2500 0.5000  4 Be 2.99, 4 Ba 2.99, 2 P 3.30

Its spin magnetization is 0.0 μB per cell. The space-group type is I4/mmm (139). Its formation energy is 0.40 eV/atom. For the calculated volume, the calculation gives 82.2 Å³/cell. The energy above the most stable polymorph in this dataset comes out at 299 meV/atom. The calculated density is 4.21 g/cm3.



Here is SiTcSbI2 at its PBEsol-relaxed geometry from Alexandria. Energies are from meta-GGA SCAN.

Unit cell a=5.3123 b=5.3123 c=5.0417 alpha=90.00 beta=90.00 gamma=90.00
With the nearest neighbours (Å) after each atom.
Atoms (fractional coordinates):
Si: 0.0000 0.0000 0.0000  8 I 3.66, 4 Sb 3.76
Tc: 0.5000 0.5000 0.5000  2 Sb 2.52, 4 I 2.66
Sb: 0.5000 0.5000 0.0000  2 Tc 2.52
I: 0.0000 0.5000 0.5000  2 Tc 2.66
I: 0.5000 0.0000 0.5000  2 Tc 2.66

Its spin magnetization is 2.5 μB per cell. The space-group type is P4/mmm (123). For the calculated volume, the calculation gives 142.3 Å³/cell. The energy above the most stable polymorph in this dataset comes out at 0 meV/atom. The calculated density is 5.85 g/cm3. The uncorrected formation energy is 5.2 eV per formula unit.



Here is TlC2 at its PBEsol-relaxed geometry from Alexandria. Energies are from meta-GGA SCAN.

Unit cell a=2.6744 b=2.6744 c=15.0804 alpha=90.00 beta=90.00 gamma=120.00
With the nearest neighbours (Å) after each atom.
Atoms (fractional coordinates):
Tl: 0.3333 0.6667 0.2500  6 Tl 2.67
Tl: 0.6667 0.3333 0.7500  6 Tl 2.67
C: 0.3333 0.6667 0.0001  3 C 1.54
C: 0.3333 0.6667 0.4999  3 C 1.54
C: 0.6667 0.3333 0.9999  3 C 1.54
C: 0.6667 0.3333 0.5001  3 C 1.54

Its spin magnetization is 0.0 μB per cell. The space-group type is P6_3/mmc (194). Its formation energy is 0.89 eV/atom. For the calculated volume, the calculation gives 93.4 Å³/cell. The energy above the most stable polymorph in this dataset comes out at 0 meV/atom. The calculated density is 8.12 g/cm3.



Here is ScAg4Ir at its PBEsol-relaxed geometry from Alexandria. Energies are from meta-GGA SCAN.

Unit cell a=5.2482 b=5.2482 c=5.2482 alpha=60.00 beta=60.00 gamma=60.00
With the nearest neighbours (Å) after each atom.
Atoms (fractional coordinates):
Sc: 0.0000 0.0000 0.0000  12 Ag 3.08, 4 Ir 3.21
Ag: 0.1258 0.6247 0.6247  6 Ag 2.62-2.63
Ag: 0.6247 0.1258 0.6247  6 Ag 2.62-2.63
Ag: 0.6247 0.6247 0.1258  6 Ag 2.62-2.63
Ag: 0.6247 0.6247 0.6247  6 Ag 2.62-2.63
Ir: 0.2500 0.2500 0.2500  12 Ag 3.08, 4 Sc 3.21

Its spin magnetization is 0.0 μB per cell. The space-group type is F-43m (216). Its formation energy is 0.13 eV/atom. For the calculated volume, the calculation gives 102.2 Å³/cell. The calculated density is 10.86 g/cm3.